Entry 1:
Density functional theory data (PBE) for a relaxed AcSi2Pt5 crystal.

```
16
Lattice="4.0508 0.0000 0.0000 0.0000 7.0799 0.0000 0.0000 0.0000 9.9235" Properties=species:S:1:pos:R:3 pbc="T T T"
Ac 0.0000 0.0000 0.0000
Ac 2.0254 3.5400 4.9618
Si 0.0000 3.5400 2.3945
Si 0.0000 3.5400 7.5290
Si 2.0254 0.0000 2.5673
Si 2.0254 0.0000 7.3563
Pt 0.0000 1.4006 3.4513
Pt 0.0000 1.4006 6.4722
Pt 0.0000 3.5400 0.0000
Pt 0.0000 5.6793 3.4513
Pt 0.0000 5.6793 6.4722
Pt 2.0254 0.0000 4.9618
Pt 2.0254 2.1394 1.5104
Pt 2.0254 2.1394 8.4131
Pt 2.0254 4.9405 1.5104
Pt 2.0254 4.9405 8.4131
```

## Properties
raw formation energy: -0.907 eV per atom
M_tot: 0.00 μB per formula unit
density of states at the Fermi level: 0.49 states/eV/atom
V: 142.3 Å³/f.u.


Entry 2:
Density functional theory data (PBE) for a relaxed Li10ZnCd6 crystal.

```
17
Lattice="8.0118 0.0000 0.0000 -4.0059 6.9385 0.0000 0.0000 0.0000 5.7442" Properties=species:S:1:pos:R:3 pbc="T T T"
Li -1.2271 2.1254 1.9432
Li -2.7788 4.8130 3.8010
Li 2.4543 0.0000 1.9432
Li 1.2271 2.1254 3.8010
Li 0.0000 4.6256 0.0000
Li 0.0000 4.6256 2.8721
Li 4.0059 2.3128 0.0000
Li 4.0059 2.3128 2.8721
Li 5.5576 0.0000 3.8010
Li 2.7788 4.8130 1.9432
Zn 0.0000 0.0000 0.0000
Cd -1.3843 2.3977 4.8204
Cd -2.6216 4.5408 0.9237
Cd 2.7686 0.0000 4.8204
Cd 1.3843 2.3977 0.9237
Cd 5.2432 0.0000 0.9237
Cd 2.6216 4.5408 4.8204
```

## Properties
M_tot: 0.00 μB per formula unit
formation energy: -177 meV/atom
density of states at the Fermi level: 0.38 states/eV/atom
V: 319.3 Å³/f.u.


Q: Look up the M_tot of the first one.
A: 0.00 μB per formula unit


What did the first record say?
Density functional theory data (PBE) for a relaxed AcSi2Pt5 crystal.

```
16
Lattice="4.0508 0.0000 0.0000 0.0000 7.0799 0.0000 0.0000 0.0000 9.9235" Properties=species:S:1:pos:R:3 pbc="T T T"
Ac 0.0000 0.0000 0.0000
Ac 2.0254 3.5400 4.9618
Si 0.0000 3.5400 2.3945
Si 0.0000 3.5400 7.5290
Si 2.0254 0.0000 2.5673
Si 2.0254 0.0000 7.3563
Pt 0.0000 1.4006 3.4513
Pt 0.0000 1.4006 6.4722
Pt 0.0000 3.5400 0.0000
Pt 0.0000 5.6793 3.4513
Pt 0.0000 5.6793 6.4722
Pt 2.0254 0.0000 4.9618
Pt 2.0254 2.1394 1.5104
Pt 2.0254 2.1394 8.4131
Pt 2.0254 4.9405 1.5104
Pt 2.0254 4.9405 8.4131
```

## Properties
raw formation energy: -0.907 eV per atom
M_tot: 0.00 μB per formula unit
density of states at the Fermi level: 0.49 states/eV/atom
V: 142.3 Å³/f.u.


Q: Which of these has the lowest V?
A: AcSi2Pt5